A geometry-optimized PrTmCuPt structure, computed with PBE.

Unit cell a=4.4016 b=5.7685 c=5.7685 alpha=38.89 beta=90.00 gamma=90.00
Atoms (fractional coordinates):
Pr 0.0000 0.0000 0.0000
Tm 0.5000 0.7229 0.7229
Cu 0.5000 0.4318 0.4318
Pt 0.0000 0.2778 0.2778

Results
theoretical density: 10.27 g/cm3
V: 22.99 A^3/atom
final energy: -0.205 hartree per atom

=====

A geometry-optimized PrTmCuPt structure, computed with PBE.

Unit cell a=5.0033 b=5.0033 c=5.0033 alpha=60.00 beta=60.00 gamma=60.00
Atoms (fractional coordinates):
Pr 0.0000 0.0000 0.0000
Tm 0.5000 0.5000 0.5000
Cu 0.7500 0.7500 0.7500
Pt 0.2500 0.2500 0.2500

Results
theoretical density: 10.66 g/cm3
V: 22.14 A^3/atom
final energy: -0.203 hartree per atom

=====

A geometry-optimized PrZn2CuPt4 structure, computed with PBE.

Unit cell a=8.9235 b=8.9235 c=8.9235 alpha=28.12 beta=28.12 gamma=28.12
Atoms (fractional coordinates):
Pr 0.0000 0.0000 0.0000
Zn 0.2372 0.2372 0.2372
Zn 0.7628 0.7628 0.7628
Cu 0.5000 0.5000 0.5000
Pt 0.1298 0.1298 0.1298
Pt 0.4020 0.4020 0.4020
Pt 0.5980 0.5980 0.5980
Pt 0.8702 0.8702 0.8702

Results
theoretical density: 13.29 g/cm3
V: 17.43 A^3/atom
final energy: -0.185 hartree per atom

=====

Which formula does entry 3 have? PrZn2CuPt4

=====

Repeat the third record exactly.
A geometry-optimized PrZn2CuPt4 structure, computed with PBE.

Unit cell a=8.9235 b=8.9235 c=8.9235 alpha=28.12 beta=28.12 gamma=28.12
Atoms (fractional coordinates):
Pr 0.0000 0.0000 0.0000
Zn 0.2372 0.2372 0.2372
Zn 0.7628 0.7628 0.7628
Cu 0.5000 0.5000 0.5000
Pt 0.1298 0.1298 0.1298
Pt 0.4020 0.4020 0.4020
Pt 0.5980 0.5980 0.5980
Pt 0.8702 0.8702 0.8702

Results
theoretical density: 13.29 g/cm3
V: 17.43 A^3/atom
final energy: -0.185 hartree per atom

=====

Among the records above, which one has the lowest V? PrZn2CuPt4